First-principles (GGA-PBE) data for a relaxed Sc3RuW crystal, as listed in Alexandria via LeMat-Bulk.

The structure in CIF format:
```
data_Sc3RuW
_symmetry_space_group_name_H-M 'P m -3 m'
_symmetry_Int_Tables_number 221
_symmetry_space_group_name_Hall '-P 4 2 3'
_cell_length_a 4.870
_cell_length_b 4.870
_cell_length_c 4.870
_cell_angle_alpha 90.00
_cell_angle_beta 90.00
_cell_angle_gamma 90.00
loop_
_atom_site_label
_atom_site_type_symbol
_atom_site_fract_x
_atom_site_fract_y
_atom_site_fract_z
_atom_site_occupancy
Sc1 Sc 0.000 0.000 0.500 1
Ru1 Ru 0.000 0.000 0.000 1
W1 W 0.500 0.500 0.500 1
```

Results
D(E_F) = 1.538 states/eV per atom
offset from the most stable computed form = 0.00 eV per formula unit

First-principles (GGA-PBE) data for a relaxed HfOsS2 crystal, as listed in Alexandria via LeMat-Bulk.

The structure in CIF format:
```
data_HfOsS2
_symmetry_space_group_name_H-M 'R -3 m'
_symmetry_Int_Tables_number 166
_symmetry_space_group_name_Hall '-R 3 2"'
_cell_length_a 3.1388
_cell_length_b 3.1388
_cell_length_c 24.1830
_cell_angle_alpha 90.00
_cell_angle_beta 90.00
_cell_angle_gamma 120.00
loop_
_atom_site_label
_atom_site_type_symbol
_atom_site_fract_x
_atom_site_fract_y
_atom_site_fract_z
_atom_site_occupancy
Hf1 Hf 0.0000 0.0000 0.0000 1
Os1 Os 0.0000 0.0000 0.5000 1
S1 S 0.0000 0.0000 0.4066 1
```

Results
D(E_F) = 0.451 states/eV per atom
energy relative to the elements, uncorrected = -0.304 eV/atom
offset from the most stable computed form = 0.55 eV per formula unit

offset from the most stable computed form of number 2 (HfOsS2)?
0.55 eV per formula unit

D(E_F) of number 2 (HfOsS2)?
0.451 states/eV per atom

Which of these has the highest D(E_F)?
Sc3RuW